Computed, not measured: an optimized crystal structure of Sm3Er3Th2 at the PBE-GGA level of DFT.

Properties
The value obtained for the offset from the most stable computed form is 10 meV/atom. As for the formation energy: 0.039 eV/atom. As for the density of states at the Fermi level: 11.668 states/eV/f.u. For the total energy, the calculation gives -42.373 eV per cell.

```
Sm3Er3Th2
1.0
3.5815 -7.1545 0.0000
3.5815 7.1545 0.0000
-3.5734 0.0000 5.0304
Sm Er Th
3 3 2
direct
0.0000 0.0000 0.0000
0.3701 0.6299 0.5000
0.6299 0.3701 0.5000
0.1266 0.8734 0.5000
0.5000 0.5000 0.0000
0.8734 0.1266 0.5000
0.2521 0.7479 0.0000
0.7479 0.2521 0.0000
```

=====

Computed, not measured: an optimized crystal structure of CoSb6Rh at the PBE-GGA level of DFT.

Properties
The calculation puts the uncorrected formation energy at -292 meV per atom. As for the density of states at the Fermi level: 1.300 states/eV/f.u. For the total energy, the calculation gives -83.053 eV per cell.

```
CoSb6Rh
1.0
6.5079 -4.6214 0.0000
6.5079 4.6214 0.0000
-6.5048 0.0000 6.5676
Co Sb Rh
2 12 2
direct
0.0000 0.5000 0.0000
0.5000 0.0000 0.0000
0.0058 0.3205 0.1576
0.1568 0.8302 0.3363
0.1698 0.8432 0.6637
0.3205 0.0058 0.1576
0.3405 0.3405 0.0082
0.3455 0.3455 0.6874
0.6545 0.6545 0.3126
0.6595 0.6595 0.9918
0.6795 0.9942 0.8424
0.8302 0.1568 0.3363
0.8432 0.1698 0.6637
0.9942 0.6795 0.8424
0.0000 0.5000 0.5000
0.5000 0.0000 0.5000
```

=====

Computed, not measured: an optimized crystal structure of Tb2Pm2ErTm at the PBE-GGA level of DFT.

Properties
As for the formation energy: 0.065 eV/atom. As for the density of states at the Fermi level: 9.190 states/eV/f.u. For the total energy, the calculation gives -54.814 eV per cell.

```
Tb2Pm2ErTm
1.0
6.9885 0.0000 0.0000
0.0000 5.6285 0.0000
0.0000 0.0000 9.7540
Tb Pm Er Tm
4 4 2 2
direct
0.2500 0.0000 0.1627
0.2500 0.5000 0.6690
0.7500 0.0000 0.8373
0.7500 0.5000 0.3310
0.0000 0.5000 0.0000
0.2500 0.0000 0.8222
0.5000 0.5000 0.0000
0.7500 0.0000 0.1778
0.2500 0.5000 0.3416
0.7500 0.5000 0.6584
0.0000 0.0000 0.5000
0.5000 0.0000 0.5000
```

=====

Computed, not measured: an optimized crystal structure of BeV4Ru5 at the PBE-GGA level of DFT.

Properties
As for the formation energy: -0.328 eV/atom. As for the density of states at the Fermi level: 7.947 states/eV/f.u. For the total energy, the calculation gives -89.855 eV per cell.

```
BeV4Ru5
1.0
2.9784 0.0000 0.0000
0.0000 2.9784 0.0000
0.0000 0.0000 14.7846
Be V Ru
1 4 5
direct
0.0000 0.0000 0.0000
0.0000 0.0000 0.1851
0.0000 0.0000 0.3954
0.0000 0.0000 0.6046
0.0000 0.0000 0.8149
0.5000 0.5000 0.0922
0.5000 0.5000 0.2961
0.5000 0.5000 0.5000
0.5000 0.5000 0.7039
0.5000 0.5000 0.9078
```

=====

Computed, not measured: an optimized crystal structure of CuF2 at the PBE-GGA level of DFT.

Properties
The calculation puts the uncorrected formation energy at -1410 meV per atom. As for the density of states at the Fermi level: 1.392 states/eV/f.u. For the total energy, the calculation gives -12.069 eV per cell.

```
CuF2
1.0
3.7418 0.0000 0.0000
0.0000 3.7418 0.0000
0.0000 0.0000 3.3683
Cu F
1 2
direct
0.0000 0.0000 0.0000
0.0000 0.5000 0.0000
0.5000 0.0000 0.0000
```

=====

Computed, not measured: an optimized crystal structure of BiSb2I8 at the PBE-GGA level of DFT.

Properties
The calculation puts the uncorrected formation energy at -195 meV per atom. As for the density of states at the Fermi level: 4.941 states/eV/f.u. For the total energy, the calculation gives -26.671 eV per cell.

```
BiSb2I8
1.0
7.8095 -4.8781 0.0000
7.8095 4.8781 0.0000
-0.9792 0.0000 7.7316
Bi Sb I
1 2 8
direct
0.0000 0.0000 0.0000
0.2159 0.2159 0.7156
0.7841 0.7841 0.2844
0.1201 0.6608 0.1475
0.1292 0.1292 0.3667
0.3392 0.8799 0.8525
0.3879 0.3879 0.6393
0.6121 0.6121 0.3607
0.6608 0.1201 0.1475
0.8708 0.8708 0.6333
0.8799 0.3392 0.8525
```

=====

Computed, not measured: an optimized crystal structure of PmBeCuGe2 at the PBE-GGA level of DFT.

Properties
As for the formation energy: -0.430 eV/atom. As for the density of states at the Fermi level: 1.895 states/eV/f.u. For the total energy, the calculation gives -23.958 eV per cell.

```
PmBeCuGe2
1.0
-2.0377 2.0377 5.1230
2.0377 -2.0377 5.1230
2.0377 2.0377 -5.1230
Pm Be Cu Ge
1 1 1 2
direct
0.0000 0.0000 0.0000
0.2500 0.7500 0.5000
0.7500 0.2500 0.5000
0.3754 0.3754 0.0000
0.6246 0.6246 0.0000
```

=====

Computed, not measured: an optimized crystal structure of TmFeGe at the PBE-GGA level of DFT.

Properties
As for the formation energy: -0.533 eV/atom. As for the density of states at the Fermi level: 1.631 states/eV/f.u. For the total energy, the calculation gives -38.299 eV per cell.

```
TmFeGe
1.0
-2.0155 2.0155 6.5985
2.0155 -2.0155 6.5985
2.0155 2.0155 -6.5985
Tm Fe Ge
2 2 2
direct
0.1489 0.1489 0.0000
0.8511 0.8511 0.0000
0.0000 0.5000 0.5000
0.5000 0.0000 0.5000
0.3901 0.3901 0.0000
0.6099 0.6099 0.0000
```

=====

Computed, not measured: an optimized crystal structure of LaSiOs2 at the PBE-GGA level of DFT.

Properties
The calculation puts the uncorrected formation energy at 547 meV per atom. As for the density of states at the Fermi level: 3.786 states/eV/f.u. For the total energy, the calculation gives -30.622 eV per cell.

```
LaSiOs2
1.0
1.5317 -2.4300 0.0000
1.5317 2.4300 0.0000
0.0000 0.0000 9.4082
La Si Os
1 1 2
direct
0.0000 0.0000 0.0000
0.5000 0.5000 0.2953
0.0000 0.0000 0.4913
0.5000 0.5000 0.7288
```

=====

Computed, not measured: an optimized crystal structure of NdEr9Th2 at the PBE-GGA level of DFT.

Properties
The value obtained for the offset from the most stable computed form is 71 meV/atom. As for the formation energy: 0.101 eV/atom. As for the density of states at the Fermi level: 21.754 states/eV/f.u. For the total energy, the calculation gives -59.457 eV per cell.

```
NdEr9Th2
1.0
11.2782 0.0000 0.0000
-5.6391 9.7672 0.0000
0.0000 0.0000 3.4970
Nd Er Th
1 9 2
direct
0.0000 0.0000 0.0000
0.0000 0.5000 0.0000
0.1758 0.3517 0.5000
0.1758 0.8242 0.5000
0.3517 0.1758 0.5000
0.5000 0.0000 0.0000
0.5000 0.5000 0.0000
0.6483 0.8242 0.5000
0.8242 0.1758 0.5000
0.8242 0.6483 0.5000
0.3333 0.6667 0.0000
0.6667 0.3333 0.0000
```

=====

Computed, not measured: an optimized crystal structure of Dy6IrS5 at the PBE-GGA level of DFT.

Properties
The calculation puts the uncorrected formation energy at -1791 meV per atom. As for the density of states at the Fermi level: 7.017 states/eV/f.u. For the total energy, the calculation gives -78.602 eV per cell.

```
Dy6IrS5
1.0
3.4352 -5.9399 0.0000
3.4352 5.9399 0.0000
-2.2896 0.0000 6.4327
Dy Ir S
6 1 5
direct
0.0808 0.4086 0.2444
0.2455 0.2455 0.7528
0.4086 0.0808 0.2444
0.5914 0.9192 0.7556
0.7545 0.7545 0.2472
0.9192 0.5914 0.7556
0.0000 0.0000 0.0000
0.1718 0.8282 0.5000
0.3340 0.6660 0.0000
0.5000 0.5000 0.5000
0.6660 0.3340 0.0000
0.8282 0.1718 0.5000
```

=====

Computed, not measured: an optimized crystal structure of Ca3CdSn at the PBE-GGA level of DFT.

Properties
The value obtained for the offset from the most stable computed form is 27 meV/atom. As for the formation energy: -0.430 eV/atom. As for the density of states at the Fermi level: 2.872 states/eV/f.u. For the total energy, the calculation gives -26.144 eV per cell.

```
Ca3CdSn
1.0
5.0515 0.0000 0.0000
2.5189 5.6897 0.0000
0.0079 2.9946 11.0415
Ca Cd Sn
6 2 2
direct
0.0967 0.3056 0.4035
0.2507 0.0001 0.7478
0.3968 0.7052 0.0994
0.6032 0.2948 0.9006
0.7493 0.9999 0.2522
0.9033 0.6944 0.5965
0.1004 0.2967 0.1041
0.8996 0.7033 0.8959
0.3887 0.7209 0.3902
0.6113 0.2791 0.6098
```

=====

Computed, not measured: an optimized crystal structure of MgCr2In at the PBE-GGA level of DFT.

Properties
As for the formation energy: 0.550 eV/atom. As for the density of states at the Fermi level: 3.727 states/eV/f.u. For the total energy, the calculation gives -21.381 eV per cell.

```
MgCr2In
1.0
2.7625 0.0000 0.0000
0.0000 4.4855 0.0000
-1.1542 0.0000 5.2551
Mg Cr In
1 2 1
direct
0.0000 0.0000 0.0000
0.3083 0.5000 0.8034
0.6917 0.5000 0.1966
0.5000 0.0000 0.5000
```

=====

Number 1: magnetic moment 0.00 μB/cell. Number 2: magnetic moment 0.00 μB/cell. Number 3: magnetic moment 0.00 μB/cell. Number 4: magnetic moment 0.00 μB/cell. Number 5: magnetic moment 0.00 μB/cell. Number 6: magnetic moment 0.00 μB/cell. Number 7: magnetic moment 0.00 μB/cell. Number 8: magnetic moment 0.60 μB/cell. Number 9: magnetic moment 0.00 μB/cell. Number 10: magnetic moment 0.00 μB/cell. Number 11: magnetic moment 0.00 μB/cell. Number 12: magnetic moment 0.00 μB/cell. Number 13: magnetic moment 0.01 μB/cell.